CoReNi2 | PBE | relaxed

Lattice parameters (Å, degrees): 4.5023 4.5023 4.5023 133.89 133.91 67.24
Last column: nearest neighbours and their distance in Å.
Atoms (fractional coordinates):
Ni: 0.0000 0.0000 0.0000  4 Ni 2.49, 4 Re 2.57, 4 Co 2.57
Re: 0.2500 0.7500 0.5000  4 Co 2.49, 8 Ni 2.57
Co: 0.7500 0.2500 0.5000  4 Re 2.49, 8 Ni 2.57
Ni: 0.5000 0.5000 0.0000  4 Ni 2.49, 4 Re 2.57, 4 Co 2.57

* excess energy over the best structure of this formula in the dataset: 0.025 eV per atom
* energy relative to the elements: 0.03 eV/atom

---

La6AlBi | PBE | relaxed

Lattice parameters (Å, degrees): 5.0236 5.0236 10.0695 90.00 90.00 90.00
Last column: nearest neighbours and their distance in Å.
Atoms (fractional coordinates):
La: 0.5000 0.0000 0.2566  8 La 3.51-3.60, 2 Al 3.51, 2 Bi 3.60
La: 0.0000 0.5000 0.2566  8 La 3.51-3.60, 2 Al 3.51, 2 Bi 3.60
La: 0.5000 0.5000 0.0000  4 Bi 3.55, 8 La 3.60
La: 0.5000 0.5000 0.5000  8 La 3.51, 4 Al 3.55
La: 0.5000 0.0000 0.7434  8 La 3.51-3.60, 2 Al 3.51, 2 Bi 3.60
La: 0.0000 0.5000 0.7434  8 La 3.51-3.60, 2 Al 3.51, 2 Bi 3.60
Al: 0.0000 0.0000 0.5000  12 La 3.51-3.55
Bi: 0.0000 0.0000 0.0000  12 La 3.55-3.60

* energy relative to the elements: -0.35 eV/atom

---

Sc2Cu2Au | PBE | relaxed

Lattice parameters (Å, degrees): 3.3808 3.3808 8.3857 78.37 78.37 90.00
Last column: nearest neighbours and their distance in Å.
Atoms (fractional coordinates):
Sc: 0.6072 0.6072 0.7857  4 Cu 2.85, 4 Au 2.95
Au: 0.0000 0.0000 0.0000  8 Sc 2.95
Cu: 0.2500 0.7500 0.5000  4 Cu 2.39
Cu: 0.7500 0.2500 0.5000  4 Cu 2.39
Sc: 0.3928 0.3928 0.2143  4 Cu 2.85, 4 Au 2.95

* excess energy over the best structure of this formula in the dataset: 0.175 eV per atom
* energy relative to the elements: -0.25 eV/atom